This record from the Alexandria database describes an optimized crystal structure of YHfCr2O6. The functional is GGA+U.

Calculated values
As for the total energy: -88.37 eV per cell. As for the space group: P1.

Lattice parameters (Å, degrees): 5.4200 5.3305 5.8438 63.34 60.68 60.92
Closest atoms and distances in Å follow each position.
Sites, in units of the cell vectors:
Y: 0.8123 0.7968 0.5911  5 O 2.20-2.37
Hf: 0.3199 0.3153 0.0527  6 O 2.03-2.20
Cr: 0.5188 0.5197 0.4354  5 O 2.08-2.31
Cr: 0.0096 0.0127 0.9655  6 O 1.99-2.09
O: 0.6122 0.2316 0.2308  1 Hf 2.07, 2 Cr 2.08
O: 0.2042 0.9444 0.2250  1 Hf 2.03, 1 Cr 2.06
O: 0.9209 0.6205 0.2342  1 Hf 2.08, 2 Cr 2.09-2.12
O: 0.3797 0.7242 0.7523  2 Cr 2.05-2.20, 1 Hf 2.15, 1 Y 2.22
O: 0.7369 0.1206 0.7748  1 Cr 1.99, 1 Hf 2.11, 1 Y 2.20
O: 0.1469 0.3758 0.7534  2 Cr 2.04-2.16, 1 Hf 2.20, 1 Y 2.25